Material: Cs2KWF8
Method: DFT, PBE+U
State: relaxed

Output
N(E_F): 0.00 states/eV/f.u.
Symmetry: No. 119
Crystal system: tetragonal
VASP energy: -4.828 eV per atom

```
Cs2KWF8
1.0
6.409 0.000 0.000
0.000 6.409 0.000
-3.204 -3.204 5.848
F Cs W K
8 2 1 1
Direct
0.958 0.834 0.297 F
0.166 0.042 0.703 F
0.166 0.661 0.703 F
0.536 0.042 0.703 F
0.339 0.834 0.297 F
0.958 0.464 0.297 F
0.339 0.464 0.297 F
0.536 0.661 0.703 F
0.000 0.000 0.000 Cs
0.750 0.250 0.500 Cs
0.250 0.750 0.500 W
0.500 0.500 0.000 K
```